La3TmTh2, optimized geometry, DFT PBE; distance to the lowest polymorph of the same formula = 0.000 eV per formula unit; electronic total energy = -5.641 eV per atom; magnetic moment = 0.0 μB per formula unit; calculated formation energy = 41 meV per atom; V = 406.3 Å³ per cell
1.0
-0.428 -3.363 -1.296
8.527 -2.990 4.938
-6.016 -2.579 8.679
La Tm Th
6 2 4
Direct
0.750 0.643 0.917
0.750 0.623 0.249
0.750 0.134 0.586
0.250 0.357 0.083
0.250 0.377 0.751
0.250 0.866 0.414
0.250 0.875 0.749
0.750 0.125 0.251
0.250 0.888 0.082
0.250 0.380 0.418
0.750 0.620 0.582
0.750 0.112 0.918


SrMgRh2, optimized geometry, DFT PBE; electronic total energy = -4.680 eV per atom; magnetic moment = 0.0 μB per formula unit; calculated formation energy = -185 meV per atom; V = 76.8 Å³ per cell
1.0
-2.777 1.466 -1.147
-1.028 -2.925 -1.250
-3.188 -1.407 5.917
Rh Mg Sr
2 1 1
Direct
0.000 0.000 0.546
0.000 0.000 0.954
0.500 0.500 0.750
0.500 0.500 0.250


Zr6TeS12, optimized geometry, DFT PBE; electronic total energy = -6.599 eV per atom; magnetic moment = 1.1 μB per formula unit; energy relative to the elements, uncorrected = -1.13 eV per atom; V = 407.5 Å³ per cell
1.0
7.716 0.003 0.005
-1.909 7.476 0.005
-1.909 -2.459 7.060
S Zr Te
12 6 1
Direct
0.449 0.449 0.175
0.500 0.873 0.127
0.500 0.127 0.873
0.127 0.500 0.873
0.825 0.551 0.551
0.873 0.127 0.500
0.449 0.175 0.449
0.551 0.825 0.551
0.175 0.449 0.449
0.551 0.551 0.825
0.873 0.500 0.127
0.127 0.873 0.500
0.249 0.658 0.249
0.751 0.751 0.342
0.751 0.342 0.751
0.342 0.751 0.751
0.658 0.249 0.249
0.249 0.249 0.658
0.000 0.000 0.000


NpAlGaCu, optimized geometry, DFT PBE; electronic total energy = -5.962 eV per atom; magnetic moment = 4.1 μB per formula unit; calculated formation energy = -11 meV per atom; V = 72.5 Å³ per cell
1.0
-2.283 -1.058 -3.947
2.238 -2.181 -3.485
-1.006 -4.461 -0.998
Np Cu Ga Al
1 1 1 1
Direct
0.500 0.500 0.500
0.250 0.250 0.250
0.750 0.750 0.750
0.000 0.000 0.000


TaTcPt4, optimized geometry, DFT PBE; electronic total energy = -7.739 eV per atom; magnetic moment = 0.0 μB per formula unit; calculated formation energy = -9 meV per atom; V = 98.4 Å³ per cell
1.0
0.000 3.665 3.665
3.665 0.000 3.665
3.665 3.665 0.000
Pt Ta Tc
4 1 1
Direct
0.876 0.375 0.375
0.375 0.375 0.876
0.375 0.375 0.375
0.375 0.876 0.375
0.750 0.750 0.750
0.000 0.000 0.000


GaAgSe2N, optimized geometry, DFT PBE; distance to the lowest polymorph of the same formula = 1.663 eV per formula unit; electronic total energy = -3.208 eV per atom; magnetic moment = 2.2 μB per formula unit; energy relative to the elements, uncorrected = 1.03 eV per atom; V = 112.0 Å³ per cell
1.0
-2.520 -1.975 -4.223
-0.134 -4.767 2.310
-3.507 0.907 1.669
Ga Se Ag N
1 2 1 1
Direct
0.500 0.500 0.500
0.000 0.500 0.000
0.500 0.000 0.000
0.000 0.000 0.000
0.000 0.000 0.500